Material: HoAl4Pt2
Method: DFT, PBE-GGA
State: optimized geometry

Unit cell a=4.2678 b=6.6448 c=17.2242 alpha=90.00 beta=90.00 gamma=90.00
Atoms (fractional coordinates):
Pt (0.2500, 0.9679, 0.7846)
Pt (0.2500, 0.7444, 0.0388)
Pt (0.7500, 0.4679, 0.7154)
Pt (0.7500, 0.2556, 0.9612)
Pt (0.2500, 0.7556, 0.5388)
Pt (0.7500, 0.2444, 0.4612)
Pt (0.7500, 0.0321, 0.2154)
Pt (0.2500, 0.5321, 0.2846)
Al (0.7500, 0.7671, 0.8069)
Al (0.2500, 0.0100, 0.9311)
Al (0.7500, 0.1736, 0.8137)
Al (0.7500, 0.3264, 0.3137)
Al (0.2500, 0.2329, 0.1931)
Al (0.2500, 0.3468, 0.0351)
Al (0.2500, 0.4900, 0.4311)
Al (0.7500, 0.6532, 0.9649)
Al (0.7500, 0.8468, 0.4649)
Al (0.7500, 0.7329, 0.3069)
Al (0.2500, 0.2671, 0.6931)
Al (0.7500, 0.5100, 0.5689)
Al (0.7500, 0.9900, 0.0689)
Al (0.2500, 0.6736, 0.6863)
Al (0.2500, 0.1532, 0.5351)
Al (0.2500, 0.8264, 0.1863)
Ho (0.2500, 0.0174, 0.3597)
Ho (0.2500, 0.4826, 0.8597)
Ho (0.7500, 0.9826, 0.6403)
Ho (0.7500, 0.5174, 0.1403)

As for the density: 9.02 Mg/m³. For the energy relative to the elements, the calculation gives -0.978 eV/atom.


Material: ScCo2Hg2
Method: DFT, PBE-GGA
State: optimized geometry

Unit cell a=4.1170 b=4.1170 c=6.2232 alpha=70.68 beta=70.68 gamma=90.00
Each line ends with the local moment (μB).
Atoms (fractional coordinates):
Hg (0.7500, 0.2500, 0.5000)  -0.01
Hg (0.2500, 0.7500, 0.5000)  -0.01
Co (0.5950, 0.5950, 0.8101)  1.35
Co (0.4050, 0.4050, 0.1899)  1.35
Sc (0.0000, 0.0000, 0.0000)  -0.24

As for the density: 10.05 Mg/m³. For the energy relative to the elements, the calculation gives 0.238 eV/atom. The polymorph energy (0 for the lowest one) is 146 meV/atom.


Material: CeHoCu2Ge2
Method: DFT, PBE-GGA
State: optimized geometry

Unit cell a=4.2459 b=4.2459 c=7.6038 alpha=90.00 beta=90.00 gamma=120.00
Each line ends with the local moment (μB).
Atoms (fractional coordinates):
Ce (0.0000, 0.0000, 0.5000)  0.67
Cu (0.6667, 0.3333, 0.2347)  0.01
Cu (0.3333, 0.6667, 0.7653)  0.01
Ge (0.3333, 0.6667, 0.2452)  -0.01
Ge (0.6667, 0.3333, 0.7548)  -0.01
Ho (0.0000, 0.0000, 0.0000)  0.04

As for the density: 8.08 Mg/m³. For the energy relative to the elements, the calculation gives -0.636 eV/atom.


no.,D(E_F) (states/eV/atom)
1,0.3689
2,1.6967
3,1.1060